Record 1
Here is a relaxed structure of Cs2RbMg2Cl7 from the Alexandria database. Energies are from PBE.

Lattice parameters (Å, degrees): 14.0744 14.0744 14.0744 159.02 159.02 29.85
Last column: nearest neighbours and their distance in Å.
Element x y z (fractional)
Cs (0.1820, 0.1820, 0.0000)  9 Cl 3.57-3.63
Cs (0.8180, 0.8180, 0.0000)  9 Cl 3.57-3.63
Rb (0.0000, 0.0000, 0.0000)  12 Cl 3.56-3.62
Mg (0.4065, 0.4065, 0.0000)  6 Cl 2.50-2.56
Mg (0.5935, 0.5935, 0.0000)  6 Cl 2.50-2.56
Cl (0.0908, 0.5908, 0.5000)  2 Mg 2.56
Cl (0.3146, 0.3146, 0.0000)  1 Mg 2.50
Cl (0.4092, 0.9092, 0.5000)  2 Mg 2.56
Cl (0.5000, 0.5000, 0.0000)  2 Mg 2.54
Cl (0.5908, 0.0908, 0.5000)  2 Mg 2.56
Cl (0.6854, 0.6854, 0.0000)  1 Mg 2.50
Cl (0.9092, 0.4092, 0.5000)  2 Mg 2.56

## Properties
The crystal system is tetragonal. The raw formation energy is -1937 meV/atom.

Record 2
Here is a relaxed structure of GdCu4Ir from the Alexandria database. Energies are from PBE.

Lattice parameters (Å, degrees): 4.9911 4.9911 4.9911 60.00 60.00 60.00
Last column: nearest neighbours and their distance in Å.
Element x y z (fractional)
Gd (0.0000, 0.0000, 0.0000)  12 Cu 2.93, 4 Ir 3.06
Cu (0.3762, 0.3762, 0.3762)  6 Cu 2.47-2.52
Cu (0.3762, 0.3762, 0.8715)  6 Cu 2.47-2.52
Cu (0.3762, 0.8715, 0.3762)  6 Cu 2.47-2.52
Cu (0.8715, 0.3762, 0.3762)  6 Cu 2.47-2.52
Ir (0.7500, 0.7500, 0.7500)  12 Cu 2.92, 4 Gd 3.06

## Properties
The crystal system is cubic.

Record 3
Here is a relaxed structure of CdSeBr from the Alexandria database. Energies are from PBE.

Lattice parameters (Å, degrees): 4.8712 4.8712 4.8712 60.00 60.00 60.00
Last column: nearest neighbours and their distance in Å.
Element x y z (fractional)
Cd (0.0000, 0.0000, 0.0000)  4 Br 2.98, 4 Se 2.98
Se (0.2500, 0.2500, 0.2500)  4 Cd 2.98
Br (0.7500, 0.7500, 0.7500)  4 Cd 2.98

## Properties
The crystal system is cubic. The energy relative to the lowest polymorph listed for this composition is 485 meV per atom. The raw formation energy is -68 meV/atom.

Number 1: calculated total energy -3.5027 eV/atom, D(E_F) 0.00 states/eV per atom. Number 2: calculated total energy -6.7547 eV/atom, D(E_F) 0.43 states/eV per atom. Number 3: calculated total energy -2.0921 eV/atom, D(E_F) 1.47 states/eV per atom.